Version w
Entry from Alexandria: Zn2OsW after structural relaxation (GGA-PBE).

Summary:
As for the space-group type: No. 99. The total magnetization is 0.00 μB/atom. The calculation puts the density of states at the Fermi level at 1.3 states/eV/cell.

Cell and atoms, written as CIF:
```
data_Zn2OsW
_cell_length_a 3.0001
_cell_length_b 3.0001
_cell_length_c 6.6765
_cell_angle_alpha 90.00
_cell_angle_beta 90.00
_cell_angle_gamma 90.00
_space_group_name_H-M_alt 'P 1'
_space_group_IT_number 1
loop_
_space_group_symop_operation_xyz
'x,y,z'
loop_
_atom_site_label
_atom_site_type_symbol
_atom_site_fract_x
_atom_site_fract_y
_atom_site_fract_z
Os1 Os 0.0000 0.0000 0.5073
W1 W 0.5000 0.5000 0.7324
Zn1 Zn 0.0000 0.0000 0.0089
Zn2 Zn 0.5000 0.5000 0.2514
```


Version x
Entry from Alexandria: Zn2OsW after structural relaxation (GGA-PBE).

Summary:
As for the space-group type: No. 160. The total magnetization is 0.00 μB/atom. The calculation puts the density of states at the Fermi level at 3.0 states/eV/cell.

Cell and atoms, written as CIF:
```
data_Zn2OsW
_cell_length_a 9.1780
_cell_length_b 9.1780
_cell_length_c 9.1780
_cell_angle_alpha 17.47
_cell_angle_beta 17.47
_cell_angle_gamma 17.47
_space_group_name_H-M_alt 'P 1'
_space_group_IT_number 1
loop_
_space_group_symop_operation_xyz
'x,y,z'
loop_
_atom_site_label
_atom_site_type_symbol
_atom_site_fract_x
_atom_site_fract_y
_atom_site_fract_z
Os1 Os 0.4983 0.4983 0.4983
W1 W 0.7529 0.7529 0.7529
Zn1 Zn 0.0010 0.0010 0.0010
Zn2 Zn 0.2478 0.2478 0.2478
```


The structure with the least stability is version x.